No. 1
First-principles (PBE) data for Ca2Sn6Ru after structural relaxation, as listed in Alexandria via LeMat-Bulk.

Cell lengths 4.1651, 6.6253, 9.9768 Å; angles 109.39, 100.53, 90.00 degrees
Last column: nearest neighbours and their distance in Å.
Positions (direct):
Ca1 0.6898 0.7135 0.4269  6 Sn 3.22-3.31
Ca2 0.3102 0.2865 0.5731  6 Sn 3.22-3.31
Sn1 0.1096 0.3449 0.2517  1 Ru 2.74, 1 Sn 2.90
Sn2 0.8904 0.0933 0.7483  1 Ru 2.74, 1 Sn 2.90
Sn3 0.8904 0.6551 0.7483  1 Ru 2.74, 1 Sn 2.90
Sn4 0.5000 0.2728 0.0000  2 Ru 2.76, 1 Sn 3.01
Sn5 0.1096 0.9067 0.2517  1 Ru 2.74, 1 Sn 2.90
Sn6 0.5000 0.7272 0.0000  2 Ru 2.76, 1 Sn 3.01
Ru1 0.0000 0.0000 0.0000  8 Sn 2.74-2.76

The calculation puts the energy relative to the elements at -233 meV/atom. Its calculated total energy is -4.377 eV/atom. The calculation puts the theoretical density at 5824 kg/m3.

***

No. 2
First-principles (PBE) data for PuMgSc2O8 after structural relaxation, as listed in Alexandria via LeMat-Bulk.

Cell lengths 4.8353, 4.8356, 6.5145 Å; angles 90.00, 90.00, 91.55 degrees
Last column: nearest neighbours and their distance in Å.
Positions (direct):
Pu1 0.0000 0.0000 0.0000  6 O 1.99
Mg1 0.0000 0.0000 0.5000  6 O 2.04-2.19
Sc1 0.5000 0.5000 0.7302  6 O 2.00-2.24
Sc2 0.5000 0.5000 0.2698  6 O 2.00-2.24
O1 0.1885 0.8098 0.2301  1 Pu 1.99, 1 Sc 2.17, 1 Mg 2.19
O2 0.7044 0.7065 0.0000  1 Pu 1.99
O3 0.8115 0.1902 0.2301  1 Pu 1.99, 1 Sc 2.17, 1 Mg 2.19
O4 0.8115 0.1902 0.7699  1 Pu 1.99, 1 Sc 2.17, 1 Mg 2.19
O5 0.2956 0.2935 0.0000  1 Pu 1.99
O6 0.1885 0.8098 0.7699  1 Pu 1.99, 1 Sc 2.17, 1 Mg 2.19
O7 0.6966 0.6979 0.5000  2 Sc 2.00, 1 Mg 2.04
O8 0.3034 0.3021 0.5000  2 Sc 2.00, 1 Mg 2.04

Its calculated total energy is -8.359 eV/atom. The calculation puts the theoretical density at 5302 kg/m3. The value obtained for the formation energy from raw total energies is -32.05 eV/f.u.

***

No. 3
First-principles (PBE) data for NdTmAlHg after structural relaxation, as listed in Alexandria via LeMat-Bulk.

Cell lengths 3.6328, 3.6328, 7.6713 Å; angles 90.00, 90.00, 90.00 degrees
Last column: nearest neighbours and their distance in Å.
Positions (direct):
Nd1 0.0000 0.0000 0.8424  4 Al 3.21, 4 Hg 3.40
Tm1 0.0000 0.0000 0.3630  4 Al 3.11, 4 Hg 3.12
Al1 0.5000 0.5000 0.5906  4 Tm 3.11, 4 Nd 3.21
Hg1 0.5000 0.5000 0.1319  4 Tm 3.12, 4 Nd 3.40

The calculation puts the energy relative to the elements at -427 meV/atom. Its calculated total energy is -3.748 eV/atom. The offset from the most stable computed form is 0 meV per atom. The calculation puts the theoretical density at 8869 kg/m3.

***

No. 4
First-principles (PBE) data for ZrTiS2 after structural relaxation, as listed in Alexandria via LeMat-Bulk.

Cell lengths 8.3162, 8.3162, 8.3162 Å; angles 23.30, 23.30, 23.30 degrees
Last column: nearest neighbours and their distance in Å.
Positions (direct):
S1 0.8947 0.8947 0.8947  3 Ti 2.44, 1 Zr 2.56
S2 0.1053 0.1053 0.1053  3 Ti 2.44, 1 Zr 2.56
Zr1 0.0000 0.0000 0.0000  2 S 2.56
Ti1 0.5000 0.5000 0.5000  6 S 2.44

Its calculated total energy is -7.122 eV/atom. The offset from the most stable computed form is 436 meV per atom. The calculation puts the theoretical density at 4273 kg/m3. The value obtained for the formation energy from raw total energies is -3.79 eV/f.u.

***

No. 5
First-principles (PBE) data for SrAsCl2 after structural relaxation, as listed in Alexandria via LeMat-Bulk.

Cell lengths 9.7143, 9.7143, 9.7143 Å; angles 26.91, 26.91, 26.91 degrees
Last column: nearest neighbours and their distance in Å.
Positions (direct):
Sr1 0.2500 0.2500 0.2500  6 Cl 2.94
As1 0.7500 0.7500 0.7500  6 Cl 4.22, 6 As 4.52
Cl1 0.9651 0.9651 0.9651  3 Sr 2.94
Cl2 0.5349 0.5349 0.5349  3 Sr 2.94

Its calculated total energy is -3.587 eV/atom. The offset from the most stable computed form is 116 meV per atom. The calculation puts the theoretical density at 2340 kg/m3. The value obtained for the formation energy from raw total energies is -4.32 eV/f.u.

***

No. 6
First-principles (PBE) data for ScAl2As after structural relaxation, as listed in Alexandria via LeMat-Bulk.

Cell lengths 4.7437, 4.7437, 4.7437 Å; angles 60.00, 60.00, 60.00 degrees
Last column: nearest neighbours and their distance in Å.
Positions (direct):
Sc1 0.7500 0.7500 0.7500  4 As 2.90, 4 Al 2.90
As1 0.5000 0.5000 0.5000  4 Al 2.90, 4 Sc 2.90
Al1 0.0000 0.0000 0.0000  4 Al 2.90, 4 Sc 2.90
Al2 0.2500 0.2500 0.2500  4 As 2.90, 4 Al 2.90

The calculation puts the energy relative to the elements at -144 meV/atom. Its calculated total energy is -4.761 eV/atom. The calculation puts the theoretical density at 3824 kg/m3.

***

No. 7
First-principles (PBE) data for Y2Rh2I after structural relaxation, as listed in Alexandria via LeMat-Bulk.

Cell lengths 8.2098, 8.2098, 3.5088 Å; angles 90.00, 90.00, 90.00 degrees
Last column: nearest neighbours and their distance in Å.
Positions (direct):
I1 0.0000 0.0000 0.0000  4 Y 3.09
I2 0.5000 0.5000 0.0000  4 Y 3.09
Y1 0.3410 0.8410 0.0000  6 Rh 2.93-3.07, 2 I 3.09
Y2 0.8410 0.6590 0.0000  6 Rh 2.93-3.07, 2 I 3.09
Y3 0.6590 0.1590 0.0000  6 Rh 2.93-3.07, 2 I 3.09
Y4 0.1590 0.3410 0.0000  6 Rh 2.93-3.07, 2 I 3.09
Rh1 0.1240 0.6240 0.5000  1 Rh 2.88, 6 Y 2.93-3.07
Rh2 0.6240 0.8760 0.5000  1 Rh 2.88, 6 Y 2.93-3.07
Rh3 0.8760 0.3760 0.5000  1 Rh 2.88, 6 Y 2.93-3.07
Rh4 0.3760 0.1240 0.5000  1 Rh 2.88, 6 Y 2.93-3.07

Its calculated total energy is -6.315 eV/atom. The offset from the most stable computed form is 183 meV per atom. The calculation puts the theoretical density at 7169 kg/m3. The value obtained for the formation energy from raw total energies is -2.39 eV/f.u.

***

No. 8
First-principles (PBE) data for PmY3Ir after structural relaxation, as listed in Alexandria via LeMat-Bulk.

Cell lengths 5.4584, 5.4584, 5.4584 Å; angles 90.00, 90.00, 90.00 degrees
Last column: nearest neighbours and their distance in Å.
Positions (direct):
Y1 0.0000 0.5000 0.0000  2 Ir 2.73
Y2 0.0000 0.0000 0.5000  2 Ir 2.73
Y3 0.5000 0.0000 0.0000  2 Ir 2.73
Ir1 0.0000 0.0000 0.0000  6 Y 2.73
Pm1 0.5000 0.5000 0.5000  12 Y 3.86

The calculation puts the energy relative to the elements at -280 meV/atom. Its calculated total energy is -6.881 eV/atom. The offset from the most stable computed form is 100 meV per atom. The calculation puts the theoretical density at 6166 kg/m3.

***

No. 9
First-principles (PBE) data for Y8AlZn2 after structural relaxation, as listed in Alexandria via LeMat-Bulk.

Cell lengths 4.9646, 8.3250, 8.7532 Å; angles 118.40, 106.47, 90.00 degrees
Last column: nearest neighbours and their distance in Å.
Positions (direct):
Y1 0.6629 0.8837 0.3258  3 Zn 3.11-3.13, 1 Al 3.32, 5 Y 3.43-3.48
Y2 0.3371 0.5578 0.6741  3 Zn 3.11-3.13, 1 Al 3.32, 5 Y 3.43-3.48
Y3 0.1347 0.1347 0.2695  2 Al 3.17, 8 Y 3.28-3.48, 2 Zn 3.50
Y4 0.0000 0.3153 0.0000  3 Y 3.08-3.28, 2 Zn 3.24
Y5 0.8653 0.8653 0.7305  2 Al 3.17, 8 Y 3.28-3.48, 2 Zn 3.50
Y6 0.6629 0.4422 0.3259  3 Zn 3.11-3.13, 1 Al 3.32, 5 Y 3.43-3.48
Y7 0.3371 0.1163 0.6742  3 Zn 3.11-3.13, 1 Al 3.32, 5 Y 3.43-3.48
Y8 0.0000 0.6847 0.0000  3 Y 3.08-3.28, 2 Zn 3.24
Al1 0.5000 0.0000 0.0000  8 Y 3.17-3.32
Zn1 0.1957 0.6957 0.3913  8 Y 3.11-3.24
Zn2 0.8043 0.3043 0.6087  8 Y 3.11-3.24

The calculation puts the energy relative to the elements at -111 meV/atom. Its calculated total energy is -5.384 eV/atom. The calculation puts the theoretical density at 4790 kg/m3.

***

No. 10
First-principles (PBE) data for Ag5H12Ir3 after structural relaxation, as listed in Alexandria via LeMat-Bulk.

Cell lengths 9.7789, 9.7789, 9.7789 Å; angles 109.47, 109.47, 109.47 degrees
Last column: nearest neighbours and their distance in Å.
Positions (direct):
Ir1 0.7500 0.3750 0.1250  4 H 1.81
Ir2 0.8750 0.7500 0.1250  4 H 1.81
Ir3 0.3750 0.7500 0.6250  4 H 1.81
Ir4 0.2500 0.1250 0.3750  4 H 1.81
Ir5 0.8750 0.1250 0.2500  4 H 1.81
Ir6 0.3750 0.6250 0.2500  4 H 1.81
Ir7 0.6250 0.3750 0.7500  4 H 1.81
Ir8 0.1250 0.8750 0.7500  4 H 1.81
Ir9 0.7500 0.8750 0.6250  4 H 1.81
Ir10 0.6250 0.2500 0.3750  4 H 1.81
Ir11 0.1250 0.2500 0.8750  4 H 1.81
Ir12 0.2500 0.6250 0.8750  4 H 1.81
Ag1 0.1250 0.3750 0.2500  4 H 2.01
Ag2 0.0000 0.5000 0.0000  6 H 2.07
Ag3 0.0000 0.0000 0.0000  6 H 2.07
Ag4 0.3750 0.2500 0.1250  4 H 2.01
Ag5 0.5000 0.0000 0.5000  6 H 2.07
Ag6 0.5000 0.5000 0.0000  6 H 2.07
Ag7 0.1250 0.7500 0.3750  4 H 2.01
Ag8 0.7500 0.1250 0.8750  4 H 2.01
Ag9 0.7500 0.6250 0.3750  4 H 2.01
Ag10 0.3750 0.1250 0.7500  4 H 2.01
Ag11 0.6250 0.8750 0.2500  4 H 2.01
Ag12 0.5000 0.5000 0.5000  6 H 2.07
Ag13 0.5000 0.0000 0.0000  6 H 2.07
Ag14 0.0000 0.0000 0.5000  6 H 2.07
Ag15 0.2500 0.3750 0.6250  4 H 2.01
Ag16 0.2500 0.8750 0.1250  4 H 2.01
Ag17 0.0000 0.5000 0.5000  6 H 2.07
Ag18 0.8750 0.2500 0.6250  4 H 2.01
Ag19 0.6250 0.7500 0.8750  4 H 2.01
Ag20 0.8750 0.6250 0.7500  4 H 2.01
H1 0.7513 0.1534 0.0888  1 H 1.70, 1 Ir 1.81
H2 0.3375 0.5888 0.4353  1 H 1.70, 1 Ir 1.81
H3 0.9112 0.3466 0.2487  1 H 1.70, 1 Ir 1.81
H4 0.5888 0.2513 0.1534  1 H 1.70, 1 Ir 1.81
H5 0.5978 0.7513 0.6625  1 H 1.70, 1 Ir 1.81
H6 0.9112 0.5647 0.1625  1 H 1.70, 1 Ir 1.81
H7 0.3375 0.7487 0.4022  1 H 1.70, 1 Ir 1.81
H8 0.0647 0.9022 0.1534  1 H 1.70, 1 Ir 1.81
H9 0.5647 0.9112 0.6625  1 H 1.70, 1 Ir 1.81
H10 0.7513 0.5978 0.1625  1 H 1.70, 1 Ir 1.81
H11 0.7487 0.4112 0.3466  1 H 1.70, 1 Ir 1.81
H12 0.8375 0.9353 0.0888  1 H 1.70, 1 Ir 1.81
H13 0.1534 0.7513 0.5888  1 H 1.70, 1 Ir 1.81
H14 0.3466 0.4353 0.0979  1 H 1.70, 1 Ir 1.81
H15 0.0979 0.9353 0.3466  1 H 1.70, 1 Ir 1.81
H16 0.4022 0.1534 0.5647  1 H 1.70, 1 Ir 1.81
H17 0.0979 0.1625 0.2513  1 H 1.70, 1 Ir 1.81
H18 0.4112 0.6625 0.0647  1 H 1.70, 1 Ir 1.81
H19 0.8375 0.9022 0.2487  1 H 1.70, 1 Ir 1.81
H20 0.1534 0.4022 0.0647  1 H 1.70, 1 Ir 1.81
H21 0.3466 0.9112 0.7487  1 H 1.70, 1 Ir 1.81
H22 0.5647 0.6534 0.4022  1 H 1.70, 1 Ir 1.81
H23 0.9353 0.8375 0.5888  1 H 1.70, 1 Ir 1.81
H24 0.7487 0.3375 0.9022  1 H 1.70, 1 Ir 1.81
H25 0.4353 0.3466 0.5978  1 H 1.70, 1 Ir 1.81
H26 0.0647 0.1625 0.4112  1 H 1.70, 1 Ir 1.81
H27 0.2513 0.6625 0.0979  1 H 1.70, 1 Ir 1.81
H28 0.1625 0.0979 0.7513  1 H 1.70, 1 Ir 1.81
H29 0.6534 0.0888 0.2513  1 H 1.70, 1 Ir 1.81
H30 0.8466 0.5978 0.9353  1 H 1.70, 1 Ir 1.81
H31 0.5888 0.3375 0.9353  1 H 1.70, 1 Ir 1.81
H32 0.5978 0.8466 0.4353  1 H 1.70, 1 Ir 1.81
H33 0.9022 0.8375 0.7487  1 H 1.70, 1 Ir 1.81
H34 0.9022 0.0647 0.6534  1 H 1.70, 1 Ir 1.81
H35 0.8466 0.2487 0.4112  1 H 1.70, 1 Ir 1.81
H36 0.1625 0.0647 0.9112  1 H 1.70, 1 Ir 1.81
H37 0.6534 0.5647 0.9022  1 H 1.70, 1 Ir 1.81
H38 0.4353 0.0888 0.3375  1 H 1.70, 1 Ir 1.81
H39 0.2487 0.4022 0.8375  1 H 1.70, 1 Ir 1.81
H40 0.2513 0.5888 0.6534  1 H 1.70, 1 Ir 1.81
H41 0.9353 0.0979 0.8466  1 H 1.70, 1 Ir 1.81
H42 0.6625 0.2513 0.5978  1 H 1.70, 1 Ir 1.81
H43 0.4112 0.7487 0.8466  1 H 1.70, 1 Ir 1.81
H44 0.0888 0.4353 0.8375  1 H 1.70, 1 Ir 1.81
H45 0.4022 0.2487 0.3375  1 H 1.70, 1 Ir 1.81
H46 0.0888 0.6534 0.7513  1 H 1.70, 1 Ir 1.81
H47 0.6625 0.4112 0.5647  1 H 1.70, 1 Ir 1.81
H48 0.2487 0.8466 0.9112  1 H 1.70, 1 Ir 1.81

Its calculated total energy is -3.696 eV/atom. The calculation puts the theoretical density at 10409 kg/m3.

***

No. 11
First-principles (PBE) data for KWBr2 after structural relaxation, as listed in Alexandria via LeMat-Bulk.

Cell lengths 10.2195, 10.2195, 10.2195 Å; angles 19.72, 19.72, 19.72 degrees
Last column: nearest neighbours and their distance in Å.
Positions (direct):
Br1 0.0251 0.0251 0.0251  3 W 2.67
Br2 0.4749 0.4749 0.4749  3 W 2.67
K1 0.2500 0.2500 0.2500  6 K 3.50, 6 Br 3.84
W1 0.7500 0.7500 0.7500  6 Br 2.67

Its calculated total energy is -3.946 eV/atom. The offset from the most stable computed form is 217 meV per atom. The calculation puts the theoretical density at 5978 kg/m3. The value obtained for the formation energy from raw total energies is 1.61 eV/f.u.

***

No. 12
First-principles (PBE) data for KNa2SO4 after structural relaxation, as listed in Alexandria via LeMat-Bulk.

Cell lengths 5.9889, 5.9889, 5.9889 Å; angles 88.07, 121.12, 121.12 degrees
Last column: nearest neighbours and their distance in Å.
Positions (direct):
K1 0.5000 0.2500 0.7500  4 O 2.81
Na1 0.5000 0.7500 0.2500  4 O 2.40
Na2 0.0000 0.0000 0.0000  4 O 3.09
S1 0.0000 0.5000 0.5000  4 O 1.51
O1 0.7101 0.4867 0.4237  1 S 1.51
O2 0.9370 0.2234 0.5133  1 S 1.51
O3 0.0630 0.5763 0.2864  1 S 1.51
O4 0.2899 0.7136 0.7766  1 S 1.51

Its calculated total energy is -4.892 eV/atom. The calculation puts the theoretical density at 2016 kg/m3. The value obtained for the formation energy from raw total energies is -11.44 eV/f.u.